w.
Density functional theory data (PBE-GGA) for a relaxed CaTeRhI2 crystal.

Values from the calculation:
M_tot: 0.60 μB/atom
D(E_F): 8.75 states/eV per cell

Cell: 5.9487 5.9487 6.0746 Å, 90.00 90.00 90.00°
Positions (direct):
Ca 0.0000 0.0000 0.0000
Te 0.0000 0.0000 0.5000
Rh 0.5000 0.5000 0.5000
I 0.0000 0.5000 0.0000
I 0.5000 0.0000 0.0000

x.
Density functional theory data (PBE-GGA) for a relaxed CaTeRhI2 crystal.

Values from the calculation:
M_tot: 0.00 μB/atom
D(E_F): 2.94 states/eV per cell

Cell: 5.3585 5.3585 5.4869 Å, 90.00 90.00 90.00°
Positions (direct):
Ca 0.0000 0.0000 0.0000
Te 0.5000 0.5000 0.0000
Rh 0.5000 0.5000 0.5000
I 0.0000 0.5000 0.5000
I 0.5000 0.0000 0.5000

Energy relative to the most stable one, in meV per atom: w 757; x 0

w.
Density functional theory data (PBE-GGA) for a relaxed CaTe2RuI crystal.

Values from the calculation:
M_tot: 0.16 μB/atom
D(E_F): 6.93 states/eV per cell

Cell: 5.2551 5.2551 5.5718 Å, 90.00 90.00 90.00°
Positions (direct):
Ca 0.0000 0.0000 0.0000
Te 0.0000 0.5000 0.5000
Te 0.5000 0.0000 0.5000
Ru 0.5000 0.5000 0.5000
I 0.5000 0.5000 0.0000

x.
Density functional theory data (PBE-GGA) for a relaxed CaTe2RuI crystal.

Values from the calculation:
M_tot: 0.59 μB/atom
D(E_F): 2.63 states/eV per cell

Cell: 6.1344 6.1344 5.4932 Å, 90.00 90.00 90.00°
Positions (direct):
Ca 0.0000 0.0000 0.0000
Te 0.0000 0.5000 0.5000
Te 0.5000 0.0000 0.5000
Ru 0.5000 0.5000 0.0000
I 0.0000 0.0000 0.5000

Energy relative to the most stable one, in meV per atom: w 0; x 1241

w.
Density functional theory data (PBE-GGA) for a relaxed CaS3I crystal.

Values from the calculation:
M_tot: 0.00 μB/atom
D(E_F): 6.45 states/eV per cell

Cell: 5.2722 5.2722 5.2722 Å, 90.00 90.00 90.00°
Positions (direct):
Ca 0.0000 0.0000 0.0000
S 0.0000 0.0000 0.5000
S 0.0000 0.5000 0.0000
S 0.5000 0.0000 0.0000
I 0.5000 0.5000 0.5000

x.
Density functional theory data (PBE-GGA) for a relaxed CaS3I crystal.

Values from the calculation:
M_tot: 0.00 μB/atom
D(E_F): 1.27 states/eV per cell

Cell: 5.1029 5.1029 5.1029 Å, 90.00 90.00 90.00°
Positions (direct):
Ca 0.0000 0.0000 0.0000
S 0.0000 0.5000 0.5000
S 0.5000 0.0000 0.5000
S 0.5000 0.5000 0.0000
I 0.5000 0.5000 0.5000

Energy relative to the most stable one, in meV per atom: w 396; x 0

w.
Density functional theory data (PBE-GGA) for a relaxed Ca2SI crystal.

Values from the calculation:
M_tot: 0.22 μB/atom
D(E_F): 9.23 states/eV per cell

Cell: 6.8275 6.8275 13.1373 Å, 90.00 90.00 90.00°
Positions (direct):
Ca 0.1873 0.2500 0.1250
Ca 0.2500 0.6873 0.3750
Ca 0.2500 0.8127 0.8750
Ca 0.3127 0.2500 0.6250
Ca 0.6873 0.7500 0.6250
Ca 0.7500 0.1873 0.8750
Ca 0.7500 0.3127 0.3750
Ca 0.8127 0.7500 0.1250
S 0.0000 0.0000 0.0000
S 0.0000 0.5000 0.2500
S 0.5000 0.0000 0.7500
S 0.5000 0.5000 0.5000
I 0.0000 0.0000 0.5000
I 0.0000 0.5000 0.7500
I 0.5000 0.0000 0.2500
I 0.5000 0.5000 0.0000

x.
Density functional theory data (PBE-GGA) for a relaxed Ca2SI crystal.

Values from the calculation:
M_tot: 0.15 μB/atom
D(E_F): 6.59 states/eV per cell

Cell: 4.1489 4.1489 22.6333 Å, 90.00 90.00 120.00°
Positions (direct):
Ca 0.0000 0.0000 0.0000
Ca 0.0000 0.0000 0.2042
Ca 0.3333 0.6667 0.6667
Ca 0.3333 0.6667 0.8709
Ca 0.6667 0.3333 0.3333
Ca 0.6667 0.3333 0.5376
S 0.0000 0.0000 0.5988
S 0.3333 0.6667 0.2655
S 0.6667 0.3333 0.9322
I 0.0000 0.0000 0.7713
I 0.3333 0.6667 0.4380
I 0.6667 0.3333 0.1047

Energy relative to the most stable one, in meV per atom: w 204; x 0

w.
Density functional theory data (PBE-GGA) for a relaxed Ca2SI crystal.

Values from the calculation:
M_tot: 0.00 μB/atom
D(E_F): 8.91 states/eV per cell

Cell: 7.4480 7.4480 7.4480 Å, 90.00 90.00 90.00°
Positions (direct):
Ca 0.2500 0.2500 0.2500
Ca 0.2500 0.2500 0.7500
Ca 0.2500 0.7500 0.2500
Ca 0.2500 0.7500 0.7500
Ca 0.7500 0.2500 0.2500
Ca 0.7500 0.2500 0.7500
Ca 0.7500 0.7500 0.2500
Ca 0.7500 0.7500 0.7500
S 0.0000 0.0000 0.0000
S 0.0000 0.5000 0.5000
S 0.5000 0.0000 0.5000
S 0.5000 0.5000 0.0000
I 0.0000 0.0000 0.5000
I 0.0000 0.5000 0.0000
I 0.5000 0.0000 0.0000
I 0.5000 0.5000 0.5000

x.
Density functional theory data (PBE-GGA) for a relaxed Ca2SI crystal.

Values from the calculation:
M_tot: 0.00 μB/atom
D(E_F): 5.91 states/eV per cell

Cell: 4.1748 4.1748 22.0325 Å, 90.00 90.00 120.00°
Positions (direct):
Ca 0.0000 0.0000 0.2307
Ca 0.0000 0.0000 0.7693
Ca 0.3333 0.6667 0.4359
Ca 0.3333 0.6667 0.8974
Ca 0.6667 0.3333 0.1026
Ca 0.6667 0.3333 0.5641
S 0.0000 0.0000 0.5000
S 0.3333 0.6667 0.1667
S 0.6667 0.3333 0.8333
I 0.0000 0.0000 0.0000
I 0.3333 0.6667 0.6667
I 0.6667 0.3333 0.3333

Energy relative to the most stable one, in meV per atom: w 371; x 0

w.
Density functional theory data (PBE-GGA) for a relaxed CaSbS2I crystal.

Values from the calculation:
M_tot: 0.00 μB/atom
D(E_F): 6.10 states/eV per cell

Cell: 5.0627 5.0627 6.6224 Å, 90.00 90.00 90.00°
Positions (direct):
Ca 0.0000 0.0000 0.0000
Sb 0.0000 0.0000 0.5000
S 0.0000 0.5000 0.0000
S 0.5000 0.0000 0.0000
I 0.5000 0.5000 0.5000

x.
Density functional theory data (PBE-GGA) for a relaxed CaSbS2I crystal.

Values from the calculation:
M_tot: 0.00 μB/atom
D(E_F): 0.00 states/eV per cell

Cell: 7.1992 5.2453 8.7427 Å, 90.00 104.68 90.00°
Positions (direct):
Ca 0.1820 0.2500 0.4219
Ca 0.8180 0.7500 0.5781
Sb 0.1716 0.2500 0.9161
Sb 0.8284 0.7500 0.0839
S 0.0422 0.7500 0.3529
S 0.0648 0.7500 0.9161
S 0.9352 0.2500 0.0839
S 0.9578 0.2500 0.6471
I 0.4427 0.7500 0.6932
I 0.5573 0.2500 0.3068

Energy relative to the most stable one, in meV per atom: w 1193; x 0